Run 1
## ThZrHg (PBE-GGA)

Data for a relaxed structure of ThZrHg.

Summary:
Density of states at the Fermi level (states/eV/f.u.): 3.906
Symmetry: I4mm, No. 107

The structure in CIF format:
```
data_ThZrHg
_symmetry_space_group_name_H-M 'P 1'
_symmetry_Int_Tables_number 1
_cell_length_a 3.334
_cell_length_b 3.334
_cell_length_c 7.355
_cell_angle_alpha 103.10
_cell_angle_beta 103.10
_cell_angle_gamma 90.00
loop_
_symmetry_equiv_pos_as_xyz
'x,y,z'
loop_
_atom_site_label
_atom_site_type_symbol
_atom_site_fract_x
_atom_site_fract_y
_atom_site_fract_z
Zr1 Zr 0.323 0.323 0.645
Hg1 Hg 0.679 0.679 0.357
Th1 Th 0.999 0.999 0.997
```

***

Run 2
## ThZrHg (PBE-GGA)

Data for a relaxed structure of ThZrHg.

Summary:
Density of states at the Fermi level (states/eV/f.u.): 4.497
Symmetry: P-6m2, No. 187

The structure in CIF format:
```
data_ThZrHg
_symmetry_space_group_name_H-M 'P 1'
_symmetry_Int_Tables_number 1
_cell_length_a 3.397
_cell_length_b 5.186
_cell_length_c 5.186
_cell_angle_alpha 120.00
_cell_angle_beta 90.00
_cell_angle_gamma 90.00
loop_
_symmetry_equiv_pos_as_xyz
'x,y,z'
loop_
_atom_site_label
_atom_site_type_symbol
_atom_site_fract_x
_atom_site_fract_y
_atom_site_fract_z
Zr1 Zr 0.166 0.000 0.000
Hg1 Hg 0.167 0.333 0.667
Th1 Th 0.667 0.667 0.333
```

***

Stability check: which of them is least stable? run 2.

***

Run 1
## ThZrHg2 (PBE-GGA)

Data for a relaxed structure of ThZrHg2.

Summary:
Density of states at the Fermi level (states/eV/f.u.): 4.262
Symmetry: P4/mmm, No. 123

The structure in CIF format:
```
data_ThZrHg2
_symmetry_space_group_name_H-M 'P 1'
_symmetry_Int_Tables_number 1
_cell_length_a 3.341
_cell_length_b 3.341
_cell_length_c 8.715
_cell_angle_alpha 90.00
_cell_angle_beta 90.00
_cell_angle_gamma 90.00
loop_
_symmetry_equiv_pos_as_xyz
'x,y,z'
loop_
_atom_site_label
_atom_site_type_symbol
_atom_site_fract_x
_atom_site_fract_y
_atom_site_fract_z
Zr1 Zr 0.500 0.500 0.000
Hg1 Hg 0.000 0.000 0.772
Hg2 Hg 0.000 0.000 0.228
Th1 Th 0.500 0.500 0.500
```

***

Run 2
## ThZrHg2 (PBE-GGA)

Data for a relaxed structure of ThZrHg2.

Summary:
Density of states at the Fermi level (states/eV/f.u.): 4.432
Symmetry: Fm-3m, No. 225

The structure in CIF format:
```
data_ThZrHg2
_symmetry_space_group_name_H-M 'P 1'
_symmetry_Int_Tables_number 1
_cell_length_a 5.232
_cell_length_b 5.232
_cell_length_c 5.232
_cell_angle_alpha 60.00
_cell_angle_beta 60.00
_cell_angle_gamma 60.00
loop_
_symmetry_equiv_pos_as_xyz
'x,y,z'
loop_
_atom_site_label
_atom_site_type_symbol
_atom_site_fract_x
_atom_site_fract_y
_atom_site_fract_z
Zr1 Zr 0.500 0.500 0.500
Hg1 Hg 0.250 0.250 0.250
Hg2 Hg 0.750 0.750 0.750
Th1 Th 0.000 0.000 0.000
```

***

Stability check: which of them is least stable? run 2.

***

Run 1
## Ti3Hg (PBE-GGA)

Data for a relaxed structure of Ti3Hg.

Summary:
Density of states at the Fermi level (states/eV/f.u.): 4.755
Symmetry: I4/mmm, No. 139

The structure in CIF format:
```
data_Ti3Hg
_symmetry_space_group_name_H-M 'P 1'
_symmetry_Int_Tables_number 1
_cell_length_a 4.039
_cell_length_b 4.039
_cell_length_c 5.196
_cell_angle_alpha 112.88
_cell_angle_beta 112.88
_cell_angle_gamma 90.00
loop_
_symmetry_equiv_pos_as_xyz
'x,y,z'
loop_
_atom_site_label
_atom_site_type_symbol
_atom_site_fract_x
_atom_site_fract_y
_atom_site_fract_z
Hg1 Hg 0.000 0.000 0.000
Ti1 Ti 0.750 0.250 0.500
Ti2 Ti 0.250 0.750 0.500
Ti3 Ti 0.500 0.500 0.000
```

***

Run 2
## Ti3Hg (PBE-GGA)

Data for a relaxed structure of Ti3Hg.

Summary:
Density of states at the Fermi level (states/eV/f.u.): 3.449
Symmetry: Pm-3n, No. 223

The structure in CIF format:
```
data_Ti3Hg
_symmetry_space_group_name_H-M 'P 1'
_symmetry_Int_Tables_number 1
_cell_length_a 5.190
_cell_length_b 5.190
_cell_length_c 5.190
_cell_angle_alpha 90.00
_cell_angle_beta 90.00
_cell_angle_gamma 90.00
loop_
_symmetry_equiv_pos_as_xyz
'x,y,z'
loop_
_atom_site_label
_atom_site_type_symbol
_atom_site_fract_x
_atom_site_fract_y
_atom_site_fract_z
Ti1 Ti 0.500 0.250 0.000
Ti2 Ti 0.500 0.750 0.000
Ti3 Ti 0.250 0.000 0.500
Ti4 Ti 0.750 0.000 0.500
Ti5 Ti 0.000 0.500 0.250
Ti6 Ti 0.000 0.500 0.750
Hg1 Hg 0.500 0.500 0.500
Hg2 Hg 0.000 0.000 0.000
```

***

Run 3
## Ti3Hg (PBE-GGA)

Data for a relaxed structure of Ti3Hg.

Summary:
Density of states at the Fermi level (states/eV/f.u.): 4.990
Symmetry: Pmm2, No. 25

The structure in CIF format:
```
data_Ti3Hg
_symmetry_space_group_name_H-M 'P 1'
_symmetry_Int_Tables_number 1
_cell_length_a 2.889
_cell_length_b 4.832
_cell_length_c 5.188
_cell_angle_alpha 90.00
_cell_angle_beta 90.00
_cell_angle_gamma 90.00
loop_
_symmetry_equiv_pos_as_xyz
'x,y,z'
loop_
_atom_site_label
_atom_site_type_symbol
_atom_site_fract_x
_atom_site_fract_y
_atom_site_fract_z
Hg1 Hg 0.000 0.500 0.322
Ti1 Ti 0.000 0.000 0.986
Ti2 Ti 0.500 0.000 0.530
Ti3 Ti 0.500 0.500 0.828
```

***

Stability check: which of them is least stable? run 3.

***

Run 1
## Ti3Hg (PBE-GGA)

Data for a relaxed structure of Ti3Hg.

Summary:
Density of states at the Fermi level (states/eV/f.u.): 5.889
Symmetry: Pm-3m, No. 221

The structure in CIF format:
```
data_Ti3Hg
_symmetry_space_group_name_H-M 'P 1'
_symmetry_Int_Tables_number 1
_cell_length_a 4.134
_cell_length_b 4.134
_cell_length_c 4.134
_cell_angle_alpha 90.00
_cell_angle_beta 90.00
_cell_angle_gamma 90.00
loop_
_symmetry_equiv_pos_as_xyz
'x,y,z'
loop_
_atom_site_label
_atom_site_type_symbol
_atom_site_fract_x
_atom_site_fract_y
_atom_site_fract_z
Hg1 Hg 0.000 0.000 0.000
Ti1 Ti 0.500 0.000 0.500
Ti2 Ti 0.000 0.500 0.500
Ti3 Ti 0.500 0.500 0.000
```

***

Run 2
## Ti3Hg (PBE-GGA)

Data for a relaxed structure of Ti3Hg.

Summary:
Density of states at the Fermi level (states/eV/f.u.): 5.604
Symmetry: Imm2, No. 44

The structure in CIF format:
```
data_Ti3Hg
_symmetry_space_group_name_H-M 'P 1'
_symmetry_Int_Tables_number 1
_cell_length_a 2.966
_cell_length_b 5.073
_cell_length_c 5.619
_cell_angle_alpha 116.83
_cell_angle_beta 105.30
_cell_angle_gamma 90.00
loop_
_symmetry_equiv_pos_as_xyz
'x,y,z'
loop_
_atom_site_label
_atom_site_type_symbol
_atom_site_fract_x
_atom_site_fract_y
_atom_site_fract_z
Hg1 Hg 0.000 0.001 0.000
Ti1 Ti 0.255 0.597 0.510
Ti2 Ti 0.500 0.482 0.000
Ti3 Ti 0.745 0.087 0.490
```

***

Run 3
## Ti3Hg (PBE-GGA)

Data for a relaxed structure of Ti3Hg.

Summary:
Density of states at the Fermi level (states/eV/f.u.): 5.954
Symmetry: Fm-3m, No. 225

The structure in CIF format:
```
data_Ti3Hg
_symmetry_space_group_name_H-M 'P 1'
_symmetry_Int_Tables_number 1
_cell_length_a 4.659
_cell_length_b 4.659
_cell_length_c 4.659
_cell_angle_alpha 60.00
_cell_angle_beta 60.00
_cell_angle_gamma 60.00
loop_
_symmetry_equiv_pos_as_xyz
'x,y,z'
loop_
_atom_site_label
_atom_site_type_symbol
_atom_site_fract_x
_atom_site_fract_y
_atom_site_fract_z
Hg1 Hg 0.500 0.500 0.500
Ti1 Ti 0.000 0.000 0.000
Ti2 Ti 0.750 0.750 0.750
Ti3 Ti 0.250 0.250 0.250
```

***

Stability check: which of them is least stable? run 3.

***

Run 1
## TiTl3Hg (PBE-GGA)

Data for a relaxed structure of TiTl3Hg.

Summary:
Density of states at the Fermi level (states/eV/f.u.): 6.715
Symmetry: Pm-3m, No. 221

The structure in CIF format:
```
data_TiTl3Hg
_symmetry_space_group_name_H-M 'P 1'
_symmetry_Int_Tables_number 1
_cell_length_a 5.590
_cell_length_b 5.590
_cell_length_c 5.590
_cell_angle_alpha 90.00
_cell_angle_beta 90.00
_cell_angle_gamma 90.00
loop_
_symmetry_equiv_pos_as_xyz
'x,y,z'
loop_
_atom_site_label
_atom_site_type_symbol
_atom_site_fract_x
_atom_site_fract_y
_atom_site_fract_z
Tl1 Tl 0.000 0.500 0.000
Tl2 Tl 0.000 0.000 0.500
Tl3 Tl 0.500 0.000 0.000
Hg1 Hg 0.000 0.000 0.000
Ti1 Ti 0.500 0.500 0.500
```

***

Run 2
## TiTl3Hg (PBE-GGA)

Data for a relaxed structure of TiTl3Hg.

Summary:
Density of states at the Fermi level (states/eV/f.u.): 6.476
Symmetry: Pm-3m, No. 221

The structure in CIF format:
```
data_TiTl3Hg
_symmetry_space_group_name_H-M 'P 1'
_symmetry_Int_Tables_number 1
_cell_length_a 5.538
_cell_length_b 5.538
_cell_length_c 5.538
_cell_angle_alpha 90.00
_cell_angle_beta 90.00
_cell_angle_gamma 90.00
loop_
_symmetry_equiv_pos_as_xyz
'x,y,z'
loop_
_atom_site_label
_atom_site_type_symbol
_atom_site_fract_x
_atom_site_fract_y
_atom_site_fract_z
Tl1 Tl 0.000 0.500 0.000
Tl2 Tl 0.000 0.000 0.500
Tl3 Tl 0.500 0.000 0.000
Hg1 Hg 0.500 0.500 0.500
Ti1 Ti 0.000 0.000 0.000
```

***

Stability check: which of them is least stable? run 1.

***

Run 1
## TiTl2Hg (PBE-GGA)

Data for a relaxed structure of TiTl2Hg.

Summary:
Density of states at the Fermi level (states/eV/f.u.): 1.487
Symmetry: I-42d, No. 122

The structure in CIF format:
```
data_TiTl2Hg
_symmetry_space_group_name_H-M 'P 1'
_symmetry_Int_Tables_number 1
_cell_length_a 7.978
_cell_length_b 7.978
_cell_length_c 6.442
_cell_angle_alpha 51.74
_cell_angle_beta 51.74
_cell_angle_gamma 90.00
loop_
_symmetry_equiv_pos_as_xyz
'x,y,z'
loop_
_atom_site_label
_atom_site_type_symbol
_atom_site_fract_x
_atom_site_fract_y
_atom_site_fract_z
Tl1 Tl 0.618 0.125 0.250
Tl2 Tl 0.132 0.625 0.250
Tl3 Tl 0.375 0.382 0.750
Tl4 Tl 0.875 0.868 0.750
Hg1 Hg 0.000 0.000 0.000
Hg2 Hg 0.750 0.250 0.500
Ti1 Ti 0.500 0.500 0.000
Ti2 Ti 0.250 0.750 0.500
```

***

Run 2
## TiTl2Hg (PBE-GGA)

Data for a relaxed structure of TiTl2Hg.

Summary:
Density of states at the Fermi level (states/eV/f.u.): 3.050
Symmetry: R-3m, No. 166

The structure in CIF format:
```
data_TiTl2Hg
_symmetry_space_group_name_H-M 'P 1'
_symmetry_Int_Tables_number 1
_cell_length_a 3.285
_cell_length_b 3.285
_cell_length_c 11.207
_cell_angle_alpha 81.57
_cell_angle_beta 81.57
_cell_angle_gamma 60.00
loop_
_symmetry_equiv_pos_as_xyz
'x,y,z'
loop_
_atom_site_label
_atom_site_type_symbol
_atom_site_fract_x
_atom_site_fract_y
_atom_site_fract_z
Tl1 Tl 0.085 0.085 0.746
Tl2 Tl 0.915 0.915 0.254
Hg1 Hg 0.500 0.500 0.500
Ti1 Ti 0.000 0.000 0.000
```

***

Stability check: which of them is least stable? run 2.